An optimized crystal structure of LiTlW2, computed with GGA-PBEsol.

```
LiTlW2
1.0
2.628 -4.640 0.000
2.628 4.640 0.000
0.000 0.000 2.740
Li Tl W
1 1 2
direct
0.000 0.000 0.000 Li
0.500 0.500 0.000 Tl
0.000 0.500 0.500 W
0.500 0.000 0.500 W
```

Calculated values
ΔH_f (0 K): 78 kJ/mol of atoms
total magnetic moment: 0.0000 μB per atom
DOS(E_F): 0.57 states/eV per atom